# 1
Crystalline YBiIr2 at its relaxed geometry. Source: OQMD via LeMat-Bulk, functional PBE.

Cell lengths 6.848, 6.848, 6.848 Å; angles 90.00, 90.00, 90.00 degrees
Space group F-43m (No. 216)
Symmetry-distinct sites (fractional):
Y 0.000 0.000 0.000 [4 per cell]
Bi 0.250 0.250 0.750 [4 per cell]
Ir 0.000 0.000 0.500 [4 per cell]
Ir 0.250 0.250 0.250 [4 per cell]

# 2
Crystalline Pr3Mg3Ag2Hg at its relaxed geometry. Source: OQMD via LeMat-Bulk, functional PBE.

Cell lengths 7.8037, 7.8037, 4.4093 Å; angles 90.00, 90.00, 120.00 degrees
Space group P-62m (No. 189)
Symmetry-distinct sites (fractional):
Pr 0.0000 0.4164 0.0000 [3 per cell]
Mg 0.0000 0.7545 0.5000 [3 per cell]
Ag 0.3333 0.6667 0.5000 [2 per cell]
Hg 0.0000 0.0000 0.0000 [1 per cell]

# 3
Crystalline LiGaMoOs at its relaxed geometry. Source: OQMD via LeMat-Bulk, functional PBE.

Cell lengths 6.065, 6.065, 6.065 Å; angles 90.00, 90.00, 90.00 degrees
Space group F-43m (No. 216)
Symmetry-distinct sites (fractional):
Li 0.000 0.000 0.000 [4 per cell]
Ga 0.250 0.250 0.250 [4 per cell]
Mo 0.250 0.250 0.750 [4 per cell]
Os 0.000 0.000 0.500 [4 per cell]

# 4
Crystalline SrNbCuPt at its relaxed geometry. Source: OQMD via LeMat-Bulk, functional PBE.

Cell lengths 6.657, 6.657, 6.657 Å; angles 90.00, 90.00, 90.00 degrees
Space group F-43m (No. 216)
Symmetry-distinct sites (fractional):
Sr 0.000 0.000 0.000 [4 per cell]
Nb 0.250 0.250 0.250 [4 per cell]
Cu 0.000 0.000 0.500 [4 per cell]
Pt 0.250 0.250 0.750 [4 per cell]

# 5
Crystalline HfNi2Pb at its relaxed geometry. Source: OQMD via LeMat-Bulk, functional PBE.

Cell lengths 6.434, 6.434, 6.434 Å; angles 90.00, 90.00, 90.00 degrees
Space group F-43m (No. 216)
Symmetry-distinct sites (fractional):
Hf 0.000 0.000 0.000 [4 per cell]
Ni 0.000 0.000 0.500 [4 per cell]
Ni 0.250 0.250 0.250 [4 per cell]
Pb 0.250 0.250 0.750 [4 per cell]

# 6
Crystalline YZrBe at its relaxed geometry. Source: OQMD via LeMat-Bulk, functional PBE.

Cell lengths 3.638, 3.638, 20.303 Å; angles 90.00, 90.00, 90.00 degrees
Space group I4/mmm (No. 139)
Symmetry-distinct sites (fractional):
Y 0.000 0.000 0.182 [4 per cell]
Zr 0.000 0.000 0.428 [4 per cell]
Be 0.000 0.000 0.050 [4 per cell]

# 7
Crystalline NdEr2In at its relaxed geometry. Source: OQMD via LeMat-Bulk, functional PBE.

Cell lengths 4.880, 4.880, 4.824 Å; angles 90.00, 90.00, 90.00 degrees
Space group P4/mmm (No. 123)
Symmetry-distinct sites (fractional):
Nd 0.000 0.000 0.000 [1 per cell]
Er 0.000 0.500 0.500 [2 per cell]
In 0.500 0.500 0.000 [1 per cell]

# 8
Crystalline Zr6AgTe2 at its relaxed geometry. Source: OQMD via LeMat-Bulk, functional PBE.

Cell lengths 7.7487, 7.7487, 3.8666 Å; angles 90.00, 90.00, 120.00 degrees
Space group P-62m (No. 189)
Symmetry-distinct sites (fractional):
Zr 0.0000 0.4112 0.0000 [3 per cell]
Zr 0.0000 0.7466 0.5000 [3 per cell]
Ag 0.0000 0.0000 0.0000 [1 per cell]
Te 0.3333 0.6667 0.5000 [2 per cell]

# 9
Crystalline Fe2AgI8 at its relaxed geometry. Source: OQMD via LeMat-Bulk, functional PBE.

Cell lengths 13.895, 9.569, 7.452 Å; angles 90.00, 96.34, 90.00 degrees
Space group C2/m (No. 12)
Symmetry-distinct sites (fractional):
Fe 0.202 0.000 0.339 [4 per cell]
Ag 0.000 0.000 0.000 [2 per cell]
I 0.116 0.214 0.179 [8 per cell]
I 0.122 0.500 0.704 [4 per cell]
I 0.182 0.000 0.672 [4 per cell]

# 10
Crystalline Al11Co2 at its relaxed geometry. Source: OQMD via LeMat-Bulk, functional PBE.

Cell lengths 5.2285, 5.2285, 25.6423 Å; angles 90.00, 90.00, 120.00 degrees
Space group R-3m (No. 166, hexagonal axes)
Symmetry-distinct sites (fractional):
Al 0.0000 0.0000 0.0000 [3 per cell]
Al 0.0000 0.0000 0.1660 [6 per cell]
Al 0.0000 0.0000 0.4502 [6 per cell]
Al 0.0098 0.5049 0.4078 [18 per cell]
Co 0.0000 0.0000 0.3527 [6 per cell]

# 11
Crystalline TmZnCo at its relaxed geometry. Source: OQMD via LeMat-Bulk, functional PBE.

Cell lengths 6.300, 6.300, 6.300 Å; angles 90.00, 90.00, 90.00 degrees
Space group F-43m (No. 216)
Symmetry-distinct sites (fractional):
Tm 0.000 0.000 0.000 [4 per cell]
Zn 0.250 0.250 0.250 [4 per cell]
Co 0.250 0.250 0.750 [4 per cell]

## Properties
- ΔH_f (0 K): 0.543 eV/atom

# 12
Crystalline Li2TcB at its relaxed geometry. Source: OQMD via LeMat-Bulk, functional PBE.

Cell lengths 5.438, 5.438, 5.438 Å; angles 90.00, 90.00, 90.00 degrees
Space group F-43m (No. 216)
Symmetry-distinct sites (fractional):
Li 0.000 0.000 0.000 [4 per cell]
Li 0.250 0.250 0.250 [4 per cell]
Tc 0.000 0.000 0.500 [4 per cell]
B 0.250 0.250 0.750 [4 per cell]

# 13
Crystalline MgAlCoOs at its relaxed geometry. Source: OQMD via LeMat-Bulk, functional PBE.

Cell lengths 6.022, 6.022, 6.022 Å; angles 90.00, 90.00, 90.00 degrees
Space group F-43m (No. 216)
Symmetry-distinct sites (fractional):
Mg 0.000 0.000 0.000 [4 per cell]
Al 0.000 0.000 0.500 [4 per cell]
Co 0.250 0.250 0.750 [4 per cell]
Os 0.250 0.250 0.250 [4 per cell]

# 14
Crystalline Ta4B3As at its relaxed geometry. Source: OQMD via LeMat-Bulk, functional PBE.

Cell lengths 3.3232, 3.3232, 22.5798 Å; angles 90.00, 90.00, 120.00 degrees
Space group P6_3/mmc (No. 194)
Symmetry-distinct sites (fractional):
Ta 0.0000 0.0000 0.1683 [4 per cell]
Ta 0.3333 0.6667 0.0566 [4 per cell]
B 0.0000 0.0000 0.0000 [2 per cell]
B 0.3333 0.6667 0.6155 [4 per cell]
As 0.3333 0.6667 0.2500 [2 per cell]

# 15
Crystalline BeAsPd at its relaxed geometry. Source: OQMD via LeMat-Bulk, functional PBE.

Cell lengths 5.582, 5.582, 5.582 Å; angles 90.00, 90.00, 90.00 degrees
Space group F-43m (No. 216)
Symmetry-distinct sites (fractional):
Be 0.000 0.000 0.000 [4 per cell]
As 0.250 0.250 0.750 [4 per cell]
Pd 0.250 0.250 0.250 [4 per cell]

# 16
Crystalline ScPaAl at its relaxed geometry. Source: OQMD via LeMat-Bulk, functional PBE.

Cell lengths 6.756, 6.756, 6.756 Å; angles 90.00, 90.00, 90.00 degrees
Space group F-43m (No. 216)
Symmetry-distinct sites (fractional):
Sc 0.000 0.000 0.000 [4 per cell]
Pa 0.000 0.000 0.500 [4 per cell]
Al 0.250 0.250 0.750 [4 per cell]

# 17
Crystalline BeSiNiPd at its relaxed geometry. Source: OQMD via LeMat-Bulk, functional PBE.

Cell lengths 5.734, 5.734, 5.734 Å; angles 90.00, 90.00, 90.00 degrees
Space group F-43m (No. 216)
Symmetry-distinct sites (fractional):
Be 0.000 0.000 0.000 [4 per cell]
Si 0.250 0.250 0.250 [4 per cell]
Ni 0.000 0.000 0.500 [4 per cell]
Pd 0.250 0.250 0.750 [4 per cell]

# 18
Crystalline KCoBiSe3 at its relaxed geometry. Source: OQMD via LeMat-Bulk, functional PBE.

Cell lengths 4.182, 14.549, 11.359 Å; angles 90.00, 90.00, 90.00 degrees
Space group Cmcm (No. 63)
Symmetry-distinct sites (fractional):
K 0.000 0.242 0.250 [4 per cell]
Co 0.000 0.038 0.750 [4 per cell]
Bi 0.000 0.500 0.000 [4 per cell]
Se 0.000 0.131 0.574 [8 per cell]
Se 0.000 0.444 0.750 [4 per cell]

# 19
Crystalline ZnSe at its relaxed geometry. Source: OQMD via LeMat-Bulk, functional PBE.

Cell lengths 3.802, 3.802, 6.910 Å; angles 90.00, 90.00, 90.00 degrees
Space group P4_2/mmc (No. 131)
Symmetry-distinct sites (fractional):
Zn 0.000 0.500 0.000 [2 per cell]
Se 0.000 0.000 0.250 [2 per cell]

# 20
Crystalline AcHoIn at its relaxed geometry. Source: OQMD via LeMat-Bulk, functional PBE.

Cell lengths 7.666, 7.666, 7.666 Å; angles 90.00, 90.00, 90.00 degrees
Space group F-43m (No. 216)
Symmetry-distinct sites (fractional):
Ac 0.000 0.000 0.000 [4 per cell]
Ho 0.000 0.000 0.500 [4 per cell]
In 0.250 0.250 0.250 [4 per cell]

DFT total energy for the records above, in order: -6.94 -3.07 -6.95 -4.88 -6.09 -6.03 -4.42 -7.13 -3.02 -4.09 -3.74 -4.90 -5.97 -9.66 -4.72 -6.19 -5.18 -4.26 -2.64 -3.87 eV per atom